# 1
# Cd2AgPb (meta-GGA SCAN, single point on PBEsol structure)
data_Cd2AgPb
_chemical_formula_sum 'Cd2 Ag1 Pb1'
_cell_length_a 3.372
_cell_length_b 4.676
_cell_length_c 5.734
_cell_angle_alpha 90.00
_cell_angle_beta 100.75
_cell_angle_gamma 90.00
_symmetry_space_group_name_H-M 'P 1'
_symmetry_Int_Tables_number 1
loop_
_symmetry_equiv_pos_as_xyz
'x,y,z'
loop_
_atom_site_label
_atom_site_fract_x
_atom_site_fract_y
_atom_site_fract_z
_atom_site_occupancy
Cd1 0.000 0.000 0.000 1
Cd2 0.429 0.500 0.841 1
Ag1 0.314 0.000 0.548 1
Pb1 0.789 0.500 0.362 1
# Mass density ... 10092 kg/m³
# Magnetic moment ... 0.000 μB per cell
# N(E_F) ... 0.35 states/eV/atom
# Total DFT energy (no corrections) ... -167.670 eV per cell
# Formation enthalpy at 0 K ... 1.77 kcal/mol of atoms

---

# 2
# LiSi2As (meta-GGA SCAN, single point on PBEsol structure)
data_LiSi2As
_chemical_formula_sum 'Li1 Si2 As1'
_cell_length_a 3.411
_cell_length_b 3.411
_cell_length_c 5.623
_cell_angle_alpha 90.00
_cell_angle_beta 90.00
_cell_angle_gamma 90.00
_symmetry_space_group_name_H-M 'P 1'
_symmetry_Int_Tables_number 1
loop_
_symmetry_equiv_pos_as_xyz
'x,y,z'
loop_
_atom_site_label
_atom_site_fract_x
_atom_site_fract_y
_atom_site_fract_z
_atom_site_occupancy
Li1 0.000 0.000 0.000 1
Si1 0.000 0.000 0.488 1
Si2 0.500 0.500 0.296 1
As1 0.500 0.500 0.729 1
# Mass density ... 3503 kg/m³
# Magnetic moment ... 0.000 μB per cell
# N(E_F) ... 0.33 states/eV/atom
# Total DFT energy (no corrections) ... -41.776 eV per cell
# Formation energy without anion corrections ... 0.21 eV/atom

---

# 3
# AlZnFe2 (meta-GGA SCAN, single point on PBEsol structure)
data_AlZnFe2
_chemical_formula_sum 'Al2 Zn2 Fe4'
_cell_length_a 5.134
_cell_length_b 7.288
_cell_length_c 2.583
_cell_angle_alpha 90.00
_cell_angle_beta 90.00
_cell_angle_gamma 90.00
_symmetry_space_group_name_H-M 'P 1'
_symmetry_Int_Tables_number 1
loop_
_symmetry_equiv_pos_as_xyz
'x,y,z'
loop_
_atom_site_label
_atom_site_fract_x
_atom_site_fract_y
_atom_site_fract_z
_atom_site_occupancy
Al1 0.000 0.000 0.000 1
Al2 0.500 0.500 0.000 1
Zn1 0.000 0.500 0.000 1
Zn2 0.500 0.000 0.000 1
Fe1 0.250 0.250 0.500 1
Fe2 0.250 0.750 0.500 1
Fe3 0.750 0.250 0.500 1
Fe4 0.750 0.750 0.500 1
# Mass density ... 7012 kg/m³
# Magnetic moment ... 8.950 μB per cell
# N(E_F) ... 0.47 states/eV/atom
# Total DFT energy (no corrections) ... -116.562 eV per cell
# Formation enthalpy at 0 K ... -4.35 kcal/mol of atoms

---

# 4
# Sc3HPb (meta-GGA SCAN, single point on PBEsol structure)
data_Sc3HPb
_chemical_formula_sum 'Sc3 H1 Pb1'
_cell_length_a 5.440
_cell_length_b 5.440
_cell_length_c 5.440
_cell_angle_alpha 90.00
_cell_angle_beta 90.00
_cell_angle_gamma 90.00
_symmetry_space_group_name_H-M 'P 1'
_symmetry_Int_Tables_number 1
loop_
_symmetry_equiv_pos_as_xyz
'x,y,z'
loop_
_atom_site_label
_atom_site_fract_x
_atom_site_fract_y
_atom_site_fract_z
_atom_site_occupancy
Sc1 0.000 0.000 0.500 1
Sc2 0.000 0.500 0.000 1
Sc3 0.500 0.000 0.000 1
H1 0.500 0.500 0.500 1
Pb1 0.000 0.000 0.000 1
# Mass density ... 3538 kg/m³
# Magnetic moment ... 3.953 μB per cell
# N(E_F) ... 1.07 states/eV/atom
# Total DFT energy (no corrections) ... -117.389 eV per cell
# Energy above the most stable polymorph in this dataset ... 1421 meV/atom

---

# 5
# MnSb2Mo (meta-GGA SCAN, single point on PBEsol structure)
data_MnSb2Mo
_chemical_formula_sum 'Mn4 Sb8 Mo4'
_cell_length_a 6.446
_cell_length_b 6.446
_cell_length_c 6.446
_cell_angle_alpha 90.00
_cell_angle_beta 90.00
_cell_angle_gamma 90.00
_symmetry_space_group_name_H-M 'P 1'
_symmetry_Int_Tables_number 1
loop_
_symmetry_equiv_pos_as_xyz
'x,y,z'
loop_
_atom_site_label
_atom_site_fract_x
_atom_site_fract_y
_atom_site_fract_z
_atom_site_occupancy
Mn1 0.000 0.000 0.000 1
Mn2 0.000 0.500 0.500 1
Mn3 0.500 0.000 0.500 1
Mn4 0.500 0.500 0.000 1
Sb1 0.250 0.250 0.250 1
Sb2 0.250 0.250 0.750 1
Sb3 0.250 0.750 0.250 1
Sb4 0.250 0.750 0.750 1
Sb5 0.750 0.250 0.250 1
Sb6 0.750 0.250 0.750 1
Sb7 0.750 0.750 0.250 1
Sb8 0.750 0.750 0.750 1
Mo1 0.000 0.000 0.500 1
Mo2 0.000 0.500 0.000 1
Mo3 0.500 0.000 0.000 1
Mo4 0.500 0.500 0.500 1
# Mass density ... 9779 kg/m³
# Magnetic moment ... 13.279 μB per cell
# N(E_F) ... 0.92 states/eV/atom
# Total DFT energy (no corrections) ... -505.227 eV per cell
# Formation energy without anion corrections ... 0.34 eV/atom

---

# 6
# TcRhW2 (meta-GGA SCAN, single point on PBEsol structure)
data_TcRhW2
_chemical_formula_sum 'Tc2 Rh2 W4'
_cell_length_a 5.544
_cell_length_b 7.725
_cell_length_c 2.744
_cell_angle_alpha 90.00
_cell_angle_beta 90.00
_cell_angle_gamma 90.00
_symmetry_space_group_name_H-M 'P 1'
_symmetry_Int_Tables_number 1
loop_
_symmetry_equiv_pos_as_xyz
'x,y,z'
loop_
_atom_site_label
_atom_site_fract_x
_atom_site_fract_y
_atom_site_fract_z
_atom_site_occupancy
Tc1 0.000 0.000 0.000 1
Tc2 0.500 0.500 0.000 1
Rh1 0.000 0.500 0.000 1
Rh2 0.500 0.000 0.000 1
W1 0.250 0.250 0.500 1
W2 0.250 0.750 0.500 1
W3 0.750 0.250 0.500 1
W4 0.750 0.750 0.500 1
# Mass density ... 16069 kg/m³
# Magnetic moment ... 0.000 μB per cell
# N(E_F) ... 0.64 states/eV/atom
# Total DFT energy (no corrections) ... -416.292 eV per cell
# Formation enthalpy at 0 K ... 0.35 kcal/mol of atoms
# Energy above the most stable polymorph in this dataset ... 0 meV/atom

---

# 7
# MoRuPt2 (meta-GGA SCAN, single point on PBEsol structure)
data_MoRuPt2
_chemical_formula_sum 'Mo2 Ru2 Pt4'
_cell_length_a 3.889
_cell_length_b 3.889
_cell_length_c 7.664
_cell_angle_alpha 90.00
_cell_angle_beta 90.00
_cell_angle_gamma 90.00
_symmetry_space_group_name_H-M 'P 1'
_symmetry_Int_Tables_number 1
loop_
_symmetry_equiv_pos_as_xyz
'x,y,z'
loop_
_atom_site_label
_atom_site_fract_x
_atom_site_fract_y
_atom_site_fract_z
_atom_site_occupancy
Mo1 0.000 0.000 0.000 1
Mo2 0.500 0.500 0.500 1
Ru1 0.000 0.500 0.250 1
Ru2 0.500 0.000 0.750 1
Pt1 0.000 0.000 0.500 1
Pt2 0.000 0.500 0.750 1
Pt3 0.500 0.000 0.250 1
Pt4 0.500 0.500 0.000 1
# Mass density ... 16821 kg/m³
# Magnetic moment ... 0.001 μB per cell
# N(E_F) ... 0.90 states/eV/atom
# Total DFT energy (no corrections) ... -422.124 eV per cell
# Formation enthalpy at 0 K ... -5.56 kcal/mol of atoms
# Energy above the most stable polymorph in this dataset ... 0 meV/atom

---

# 8
# Mg (meta-GGA SCAN, single point on PBEsol structure)
data_Mg
_chemical_formula_sum 'Mg6'
_cell_length_a 5.522
_cell_length_b 3.195
_cell_length_c 7.876
_cell_angle_alpha 90.00
_cell_angle_beta 103.37
_cell_angle_gamma 90.00
_symmetry_space_group_name_H-M 'P 1'
_symmetry_Int_Tables_number 1
loop_
_symmetry_equiv_pos_as_xyz
'x,y,z'
loop_
_atom_site_label
_atom_site_fract_x
_atom_site_fract_y
_atom_site_fract_z
_atom_site_occupancy
Mg1 0.000 0.000 0.000 1
Mg2 0.222 0.000 0.666 1
Mg3 0.278 0.500 0.334 1
Mg4 0.500 0.500 0.000 1
Mg5 0.722 0.500 0.666 1
Mg6 0.778 0.000 0.334 1
# Mass density ... 1792 kg/m³
# Magnetic moment ... 0.036 μB per cell
# N(E_F) ... 0.38 states/eV/atom
# Total DFT energy (no corrections) ... -29.842 eV per cell
# Formation enthalpy at 0 K ... 0.00 kcal/mol of atoms
# Energy above the most stable polymorph in this dataset ... 0 meV/atom

---

# 9
# KRe2Rh (meta-GGA SCAN, single point on PBEsol structure)
data_KRe2Rh
_chemical_formula_sum 'K2 Re4 Rh2'
_cell_length_a 2.636
_cell_length_b 4.847
_cell_length_c 10.791
_cell_angle_alpha 90.00
_cell_angle_beta 90.00
_cell_angle_gamma 90.00
_symmetry_space_group_name_H-M 'P 1'
_symmetry_Int_Tables_number 1
loop_
_symmetry_equiv_pos_as_xyz
'x,y,z'
loop_
_atom_site_label
_atom_site_fract_x
_atom_site_fract_y
_atom_site_fract_z
_atom_site_occupancy
K1 0.000 0.000 0.000 1
K2 0.500 0.500 0.500 1
Re1 0.000 0.500 0.210 1
Re2 0.000 0.500 0.790 1
Re3 0.500 0.000 0.290 1
Re4 0.500 0.000 0.710 1
Rh1 0.000 0.000 0.500 1
Rh2 0.500 0.500 0.000 1
# Mass density ... 12388 kg/m³
# Magnetic moment ... 0.000 μB per cell
# N(E_F) ... 0.52 states/eV/atom
# Total DFT energy (no corrections) ... -361.698 eV per cell
# Formation enthalpy at 0 K ... 19.87 kcal/mol of atoms
# Energy above the most stable polymorph in this dataset ... 190 meV/atom

---

# 10
# Rb2MgGaSi (meta-GGA SCAN, single point on PBEsol structure)
data_Rb2MgGaSi
_chemical_formula_sum 'Rb2 Mg1 Ga1 Si1'
_cell_length_a 6.668
_cell_length_b 6.668
_cell_length_c 4.698
_cell_angle_alpha 90.00
_cell_angle_beta 90.00
_cell_angle_gamma 90.00
_symmetry_space_group_name_H-M 'P 1'
_symmetry_Int_Tables_number 1
loop_
_symmetry_equiv_pos_as_xyz
'x,y,z'
loop_
_atom_site_label
_atom_site_fract_x
_atom_site_fract_y
_atom_site_fract_z
_atom_site_occupancy
Rb1 0.000 0.500 0.000 1
Rb2 0.500 0.000 0.000 1
Mg1 0.000 0.000 0.500 1
Ga1 0.500 0.500 0.000 1
Si1 0.500 0.500 0.500 1
# Mass density ... 2330 kg/m³
# Magnetic moment ... 0.000 μB per cell
# N(E_F) ... 0.47 states/eV/atom
# Total DFT energy (no corrections) ... -70.980 eV per cell
# Formation energy without anion corrections ... 0.37 eV/atom